1.
CsLaRh2I | PBE | optimized geometry

Computed properties:
- Formation energy (no corrections): 5.60 eV per formula unit
- SG: P4/mmm (123)

Lattice parameters (Å, degrees): 4.9835 4.9835 6.2056 90.00 90.00 90.00
Fractional positions:
Cs 0.0000 0.0000 0.0000
La 0.0000 0.0000 0.5000
Rh 0.0000 0.5000 0.0000
Rh 0.5000 0.0000 0.0000
I 0.5000 0.5000 0.5000

2.
Ho3Hg2Au3 | PBE | optimized geometry

Computed properties:
- E above lowest polymorph: 0.040 eV per atom
- SG: P6_3/mcm (193)
- Formation energy: -0.622 eV per atom

Lattice parameters (Å, degrees): 8.6977 8.6977 5.9047 90.00 90.00 120.00
Fractional positions:
Ho 0.0000 0.2916 0.2500
Ho 0.0000 0.7084 0.7500
Ho 0.2916 0.0000 0.2500
Ho 0.2916 0.2916 0.7500
Ho 0.7084 0.0000 0.7500
Ho 0.7084 0.7084 0.2500
Hg 0.3333 0.6667 0.0000
Hg 0.3333 0.6667 0.5000
Hg 0.6667 0.3333 0.0000
Hg 0.6667 0.3333 0.5000
Au 0.0000 0.3617 0.7500
Au 0.0000 0.6383 0.2500
Au 0.3617 0.0000 0.7500
Au 0.3617 0.3617 0.2500
Au 0.6383 0.0000 0.2500
Au 0.6383 0.6383 0.7500

3.
ZrTl3Cd | PBE | optimized geometry

Computed properties:
- E above lowest polymorph: 0.309 eV per atom
- SG: Pm-3m (221)
- Formation energy: 0.859 eV per atom

Lattice parameters (Å, degrees): 5.4486 5.4486 5.4486 90.00 90.00 90.00
Fractional positions:
Zr 0.0000 0.0000 0.0000
Tl 0.0000 0.5000 0.5000
Tl 0.5000 0.0000 0.5000
Tl 0.5000 0.5000 0.0000
Cd 0.5000 0.5000 0.5000

4.
LaPm2Ho7 | PBE | optimized geometry

Computed properties:
- E above lowest polymorph: 0.663 eV per atom
- SG: Cmmm (65)
- Formation energy: 0.684 eV per atom

Lattice parameters (Å, degrees): 9.3335 9.3335 5.5151 90.00 90.00 124.84
Fractional positions:
La 0.0000 0.0000 0.0000
Pm 0.2972 0.7028 0.5000
Pm 0.7028 0.2972 0.5000
Ho 0.0639 0.2901 0.5000
Ho 0.2122 0.7878 0.0000
Ho 0.2901 0.0639 0.5000
Ho 0.5000 0.5000 0.5000
Ho 0.7099 0.9361 0.5000
Ho 0.7878 0.2122 0.0000
Ho 0.9361 0.7099 0.5000

5.
KP2 | PBE | optimized geometry

Computed properties:
- SG: I4/mmm (139)
- Formation energy: -0.136 eV per atom

Lattice parameters (Å, degrees): 6.2252 6.2252 6.2252 149.20 149.20 44.11
Fractional positions:
K 0.0000 0.0000 0.0000
P 0.2835 0.2835 0.0000
P 0.7165 0.7165 0.0000

6.
KBa2Sr | PBE | optimized geometry

Computed properties:
- E above lowest polymorph: 0.031 eV per atom
- SG: Pm (6)
- Formation energy: 0.077 eV per atom

Lattice parameters (Å, degrees): 4.3113 7.1545 8.2829 90.00 99.23 90.00
Fractional positions:
K 0.0000 0.0000 0.0000
Ba 0.2606 0.5000 0.7492
Ba 0.5196 0.0000 0.4946
Sr 0.8128 0.5000 0.2614

7.
AlGa2Tc | PBE | optimized geometry

Computed properties:
- E above lowest polymorph: 0.068 eV per atom
- SG: Imm2 (44)
- Formation energy: -0.198 eV per atom

Lattice parameters (Å, degrees): 5.0663 5.0663 5.0663 143.41 65.55 127.66
Fractional positions:
Al 0.0000 0.0000 0.0000
Ga 0.3742 0.6131 0.7611
Ga 0.8520 0.6131 0.2389
Tc 0.4720 0.9720 0.5000

8.
LaAl4Si | PBE | optimized geometry

Computed properties:
- Formation energy (no corrections): -0.17 eV per formula unit
- SG: F-43m (216)

Lattice parameters (Å, degrees): 5.5542 5.5542 5.5542 60.00 60.00 60.00
Fractional positions:
La 0.0000 0.0000 0.0000
Al 0.3758 0.3758 0.3758
Al 0.3758 0.3758 0.8726
Al 0.3758 0.8726 0.3758
Al 0.8726 0.3758 0.3758
Si 0.7500 0.7500 0.7500

9.
Cs2ErCuI6 | PBE | optimized geometry

Computed properties:
- Formation energy (no corrections): -11.71 eV per formula unit
- SG: C2/m (12)

Lattice parameters (Å, degrees): 8.5263 8.5263 8.1552 113.47 113.47 101.85
Fractional positions:
Cs 0.2432 0.7568 0.0000
Cs 0.7568 0.2432 0.0000
Er 0.5000 0.5000 0.5000
Cu 0.0000 0.0000 0.5000
I 0.1630 0.1630 0.3806
I 0.2725 0.7275 0.5000
I 0.3222 0.3222 0.0358
I 0.6778 0.6778 0.9642
I 0.7275 0.2725 0.5000
I 0.8370 0.8370 0.6194

10.
CeGa2AgPd5 | PBE | optimized geometry

Computed properties:
- SG: P4/mmm (123)
- Formation energy: -0.522 eV per atom

Lattice parameters (Å, degrees): 4.1053 4.1053 9.5310 90.00 90.00 90.00
Fractional positions:
Ce 0.0000 0.0000 0.0000
Ga 0.5000 0.5000 0.3729
Ga 0.5000 0.5000 0.6271
Ag 0.0000 0.0000 0.5000
Pd 0.0000 0.5000 0.2210
Pd 0.0000 0.5000 0.7790
Pd 0.5000 0.0000 0.2210
Pd 0.5000 0.0000 0.7790
Pd 0.5000 0.5000 0.0000

11.
HfH2I5 | PBE | optimized geometry

Computed properties:
- SG: Cmcm (63)

Lattice parameters (Å, degrees): 8.8772 8.8772 13.5060 90.00 90.00 141.67
Fractional positions:
Hf 0.2393 0.7607 0.7500
Hf 0.7607 0.2393 0.2500
H 0.0319 0.9681 0.2222
H 0.0319 0.9681 0.2778
H 0.9681 0.0319 0.7222
H 0.9681 0.0319 0.7778
I 0.1410 0.8590 0.5891
I 0.1410 0.8590 0.9109
I 0.2588 0.7412 0.2500
I 0.3813 0.6187 0.6290
I 0.3813 0.6187 0.8710
I 0.6187 0.3813 0.1290
I 0.6187 0.3813 0.3710
I 0.7412 0.2588 0.7500
I 0.8590 0.1410 0.0891
I 0.8590 0.1410 0.4109

12.
LiLaPd3 | PBE | optimized geometry

Computed properties:
- E above lowest polymorph: 0.028 eV per atom
- SG: Imma (74)
- Formation energy: -0.587 eV per atom

Lattice parameters (Å, degrees): 6.4843 6.4843 6.4843 128.92 105.68 95.82
Fractional positions:
Li 0.0000 0.0000 0.0000
Li 0.5000 0.0000 0.5000
La 0.2547 0.5047 0.7500
La 0.7453 0.4953 0.2500
Pd 0.0677 0.8177 0.2500
Pd 0.3019 0.0000 0.8019
Pd 0.3019 0.5000 0.3019
Pd 0.6981 0.0000 0.1981
Pd 0.6981 0.5000 0.6981
Pd 0.9323 0.1823 0.7500

13.
NbFeP2 | PBE | optimized geometry

Computed properties:
- SG: Fm-3m (225)
- Formation energy: -0.265 eV per atom

Lattice parameters (Å, degrees): 4.2207 4.2207 4.2207 60.00 60.00 60.00
Fractional positions:
Nb 0.0000 0.0000 0.0000
Fe 0.5000 0.5000 0.5000
P 0.2500 0.2500 0.2500
P 0.7500 0.7500 0.7500

14.
Pr12Ag3C5 | PBE | optimized geometry

Computed properties:
- SG: Ia-3d (230)
- Formation energy: 0.080 eV per atom

Lattice parameters (Å, degrees): 14.2559 14.2559 14.2559 109.47 109.47 109.47
Fractional positions:
Pr 0.0206 0.2021 0.1144
Pr 0.0206 0.3184 0.9061
Pr 0.0877 0.7021 0.6816
Pr 0.0877 0.8856 0.4061
Pr 0.0939 0.6144 0.4123
Pr 0.0939 0.9794 0.6816
Pr 0.1144 0.0206 0.2021
Pr 0.1144 0.5939 0.9123
Pr 0.1816 0.2021 0.5877
Pr 0.1816 0.4794 0.5939
Pr 0.2021 0.1144 0.0206
Pr 0.2021 0.5877 0.1816
Pr 0.2979 0.3184 0.9123
Pr 0.2979 0.4794 0.3856
Pr 0.3184 0.9061 0.0206
Pr 0.3184 0.9123 0.2979
Pr 0.3856 0.2979 0.4794
Pr 0.3856 0.5877 0.9061
Pr 0.4061 0.0877 0.8856
Pr 0.4061 0.8184 0.5206
Pr 0.4123 0.0939 0.6144
Pr 0.4123 0.8184 0.7979
Pr 0.4794 0.3856 0.2979
Pr 0.4794 0.5939 0.1816
Pr 0.5206 0.4061 0.8184
Pr 0.5206 0.6144 0.7021
Pr 0.5877 0.1816 0.2021
Pr 0.5877 0.9061 0.3856
Pr 0.5939 0.1816 0.4794
Pr 0.5939 0.9123 0.1144
Pr 0.6144 0.4123 0.0939
Pr 0.6144 0.7021 0.5206
Pr 0.6816 0.0877 0.7021
Pr 0.6816 0.0939 0.9794
Pr 0.7021 0.5206 0.6144
Pr 0.7021 0.6816 0.0877
Pr 0.7979 0.4123 0.8184
Pr 0.7979 0.8856 0.9794
Pr 0.8184 0.5206 0.4061
Pr 0.8184 0.7979 0.4123
Pr 0.8856 0.4061 0.0877
Pr 0.8856 0.9794 0.7979
Pr 0.9061 0.0206 0.3184
Pr 0.9061 0.3856 0.5877
Pr 0.9123 0.1144 0.5939
Pr 0.9123 0.2979 0.3184
Pr 0.9794 0.6816 0.0939
Pr 0.9794 0.7979 0.8856
Ag 0.1250 0.2500 0.3750
Ag 0.1250 0.3750 0.7500
Ag 0.2500 0.3750 0.1250
Ag 0.2500 0.8750 0.6250
Ag 0.3750 0.1250 0.2500
Ag 0.3750 0.7500 0.1250
Ag 0.6250 0.2500 0.8750
Ag 0.6250 0.8750 0.7500
Ag 0.7500 0.1250 0.3750
Ag 0.7500 0.6250 0.8750
Ag 0.8750 0.6250 0.2500
Ag 0.8750 0.7500 0.6250
C 0.0000 0.0000 0.0000
C 0.0000 0.0000 0.5000
C 0.0000 0.5000 0.0000
C 0.0000 0.5000 0.5000
C 0.1250 0.7500 0.8750
C 0.1250 0.8750 0.2500
C 0.2500 0.1250 0.8750
C 0.2500 0.6250 0.3750
C 0.3750 0.2500 0.6250
C 0.3750 0.6250 0.7500
C 0.5000 0.0000 0.0000
C 0.5000 0.0000 0.5000
C 0.5000 0.5000 0.0000
C 0.5000 0.5000 0.5000
C 0.6250 0.3750 0.2500
C 0.6250 0.7500 0.3750
C 0.7500 0.3750 0.6250
C 0.7500 0.8750 0.1250
C 0.8750 0.1250 0.7500
C 0.8750 0.2500 0.1250

15.
Zn2WCl | PBE | optimized geometry

Computed properties:
- Formation energy (no corrections): 3.15 eV per formula unit
- E above lowest polymorph: 0.633 eV per atom
- SG: I-42d (122)

Lattice parameters (Å, degrees): 6.4233 6.4233 6.4233 97.34 97.34 138.10
Fractional positions:
Zn 0.0437 0.1250 0.4187
Zn 0.3750 0.9563 0.0813
Zn 0.7063 0.6250 0.5813
Zn 0.8750 0.2937 0.9187
W 0.0000 0.0000 0.0000
W 0.7500 0.2500 0.5000
Cl 0.2500 0.7500 0.5000
Cl 0.5000 0.5000 0.0000

16.
SiTcHgOs2 | PBE | optimized geometry

Computed properties:
- Formation energy (no corrections): 14.67 eV per formula unit
- SG: P4/mmm (123)

Lattice parameters (Å, degrees): 4.9518 4.9518 4.4873 90.00 90.00 90.00
Fractional positions:
Si 0.0000 0.0000 0.0000
Tc 0.5000 0.5000 0.0000
Hg 0.0000 0.0000 0.5000
Os 0.0000 0.5000 0.5000
Os 0.5000 0.0000 0.5000

17.
CuSbOsF | PBE | optimized geometry

Computed properties:
- Formation energy (no corrections): -0.68 eV per formula unit
- E above lowest polymorph: 0.040 eV per atom
- SG: Amm2 (38)

Lattice parameters (Å, degrees): 2.9974 7.3519 7.3519 23.84 90.00 90.00
Fractional positions:
Cu 0.0000 0.0000 0.0000
Sb 0.0000 0.7628 0.7628
Os 0.5000 0.3854 0.3854
F 0.5000 0.0938 0.0938

18.
Pm5TmAs6 | PBE | optimized geometry

Computed properties:
- SG: C2/m (12)
- Formation energy: -1.517 eV per atom

Lattice parameters (Å, degrees): 7.2934 7.2934 7.2937 99.61 99.61 119.98
Fractional positions:
Pm 0.0000 0.0000 0.0000
Pm 0.1663 0.8337 0.5000
Pm 0.3321 0.6679 0.0000
Pm 0.6679 0.3321 0.0000
Pm 0.8337 0.1663 0.5000
Tm 0.5000 0.5000 0.5000
As 0.0904 0.4181 0.2540
As 0.2548 0.2548 0.7471
As 0.4181 0.0904 0.2540
As 0.5819 0.9096 0.7460
As 0.7452 0.7452 0.2529
As 0.9096 0.5819 0.7460

19.
Cd2NiAgPt | PBE | optimized geometry

Computed properties:
- SG: P4/mmm (123)
- Formation energy: 0.461 eV per atom

Lattice parameters (Å, degrees): 4.8486 4.8486 4.6367 90.00 90.00 90.00
Fractional positions:
Cd 0.0000 0.5000 0.0000
Cd 0.5000 0.0000 0.0000
Ni 0.0000 0.0000 0.0000
Ag 0.5000 0.5000 0.5000
Pt 0.0000 0.0000 0.5000

20.
RbAl2PRh | PBE | optimized geometry

Computed properties:
- SG: P4/mmm (123)
- Formation energy: 2.086 eV per atom

Lattice parameters (Å, degrees): 5.7119 5.7119 4.7964 90.00 90.00 90.00
Fractional positions:
Rb 0.0000 0.0000 0.0000
Al 0.0000 0.5000 0.0000
Al 0.5000 0.0000 0.0000
P 0.5000 0.5000 0.5000
Rh 0.0000 0.0000 0.5000

21.
CrIn | PBE | optimized geometry

Computed properties:
- SG: P6_3/mmc (194)
- Formation energy: 1.042 eV per atom

Lattice parameters (Å, degrees): 4.8639 4.8639 5.5017 90.00 90.00 120.00
Fractional positions:
Cr 0.3333 0.6667 0.2500
Cr 0.6667 0.3333 0.7500
In 0.3333 0.6667 0.7500
In 0.6667 0.3333 0.2500

Number 1: magnetic moment 0.00 Bohr magnetons per cell, E_tot -3.29 eV/atom. Number 2: magnetic moment 0.00 Bohr magnetons per cell, E_tot -3.64 eV/atom. Number 3: magnetic moment 0.00 Bohr magnetons per cell, E_tot -2.45 eV/atom. Number 4: magnetic moment 0.00 Bohr magnetons per cell, E_tot -3.96 eV/atom. Number 5: magnetic moment 0.00 Bohr magnetons per cell, E_tot -4.11 eV/atom. Number 6: magnetic moment 0.00 Bohr magnetons per cell, E_tot -1.58 eV/atom. Number 7: magnetic moment 0.00 Bohr magnetons per cell, E_tot -5.24 eV/atom. Number 8: magnetic moment 0.00 Bohr magnetons per cell, E_tot -4.25 eV/atom. Number 9: magnetic moment 0.00 Bohr magnetons per cell, E_tot -3.14 eV/atom. Number 10: magnetic moment 0.30 Bohr magnetons per cell, E_tot -5.06 eV/atom. Number 11: magnetic moment 2.07 Bohr magnetons per cell, E_tot -3.50 eV/atom. Number 12: magnetic moment 0.00 Bohr magnetons per cell, E_tot -5.07 eV/atom. Number 13: magnetic moment 0.94 Bohr magnetons per cell, E_tot -7.60 eV/atom. Number 14: magnetic moment 0.00 Bohr magnetons per cell, E_tot -5.52 eV/atom. Number 15: magnetic moment 0.00 Bohr magnetons per cell, E_tot -3.55 eV/atom. Number 16: magnetic moment 3.55 Bohr magnetons per cell, E_tot -4.78 eV/atom. Number 17: magnetic moment 0.00 Bohr magnetons per cell, E_tot -5.50 eV/atom. Number 18: magnetic moment 0.00 Bohr magnetons per cell, E_tot -6.19 eV/atom. Number 19: magnetic moment 0.49 Bohr magnetons per cell, E_tot -2.84 eV/atom. Number 20: magnetic moment 1.06 Bohr magnetons per cell, E_tot -2.16 eV/atom. Number 21: magnetic moment 8.23 Bohr magnetons per cell, E_tot -5.14 eV/atom.